The following is a DFT calculation (PBE) of a relaxed Cd2Tc2O5 crystal.

Output
E_tot: -0.20828 hartree per atom
relative energy among the computed polymorphs: 381 meV/atom
space group: P4/mmm (123)

The structure in CIF format:
```
data_Cd2Tc2O5
_symmetry_space_group_name_H-M 'P 1'
_symmetry_Int_Tables_number 1
_symmetry_space_group_name_Hall 'P 1'
_cell_length_a 9.810
_cell_length_b 3.427
_cell_length_c 3.427
_cell_angle_alpha 90.00
_cell_angle_beta 90.00
_cell_angle_gamma 90.00
loop_
_atom_site_label
_atom_site_fract_x
_atom_site_fract_y
_atom_site_fract_z
O1 0.118 0.000 0.500
O2 0.882 0.000 0.500
O3 0.500 0.500 0.500
Cd1 0.267 0.500 0.500
Tc1 0.500 0.000 0.000
Cd2 0.733 0.500 0.500
O4 0.118 0.500 0.000
O5 0.882 0.500 0.000
Tc2 0.000 0.000 0.000
```